Crystalline Cd2CuP at its relaxed geometry. Source: Alexandria via LeMat-Bulk, functional PBE.

a = 4.7069 Å, b = 4.7069 Å, c = 4.7069 Å
α = 60.00°, β = 60.00°, γ = 60.00°
Last column: nearest neighbours and their distance in Å.
Positions (direct):
1 Cd 0.0000 0.0000 0.0000  4 P 2.88, 4 Cd 2.88
2 Cd 0.2500 0.2500 0.2500  4 Cd 2.88, 4 Cu 2.88
3 Cu 0.5000 0.5000 0.5000  4 P 2.88, 4 Cd 2.88
4 P 0.7500 0.7500 0.7500  4 Cd 2.88, 4 Cu 2.88

Properties
Magnetization in μB/f.u.: 0.0
Calculated formation energy in meV per atom: 344
DOS(E_F) in states/eV per cell: 0.78
Space group: No. 216
Calculated volume in A^3/atom: 18.43